NaEr6Se8 after structural relaxation. Source: Alexandria via LeMat-Bulk, functional PBE.

Results
SG   No. 225
DOS(E_F)   0.287 states/eV/atom
Relative energy among the computed polymorphs   0 meV per atom
Calculated volume   370.0 Å³/cell

```
NaEr6Se8
1.0
0.000 5.698 5.698
5.698 0.000 5.698
5.698 5.698 0.000
Na Er Se
1 6 8
direct
0.000 0.000 0.000 Na
0.000 0.000 0.500 Er
0.000 0.500 0.000 Er
0.000 0.500 0.500 Er
0.500 0.000 0.000 Er
0.500 0.000 0.500 Er
0.500 0.500 0.000 Er
0.250 0.250 0.250 Se
0.255 0.255 0.745 Se
0.255 0.745 0.255 Se
0.255 0.745 0.745 Se
0.745 0.255 0.255 Se
0.745 0.255 0.745 Se
0.745 0.745 0.255 Se
0.750 0.750 0.750 Se
```